# 1
First-principles (PBE) data for crystalline TaInCu2 at its relaxed geometry, as listed in Alexandria via LeMat-Bulk.

a = 2.9478 Å, b = 2.9478 Å, c = 7.3701 Å
α = 90.00°, β = 90.00°, γ = 90.00°
Last column: nearest neighbours and their distance in Å.
Fractional coordinates of all 4 atoms:
Ta1 0.0000 0.0000 0.0000  8 Cu 2.75, 4 Ta 2.95
In1 0.0000 0.0000 0.5000  8 Cu 2.81, 4 In 2.95
Cu1 0.5000 0.5000 0.2439  4 Ta 2.75, 4 In 2.81, 4 Cu 2.95
Cu2 0.5000 0.5000 0.7561  4 Ta 2.75, 4 In 2.81, 4 Cu 2.95

Results
Energy of formation from the pure elements = 0.113 eV/atom
Magnetization = 0.00 μB per cell
Total energy = -22.33 eV per cell

=====

# 2
First-principles (PBE) data for crystalline Ta4RuAu at its relaxed geometry, as listed in Alexandria via LeMat-Bulk.

a = 5.3499 Å, b = 5.3499 Å, c = 5.3499 Å
α = 60.00°, β = 60.00°, γ = 60.00°
Last column: nearest neighbours and their distance in Å.
Fractional coordinates of all 6 atoms:
Ta1 0.3758 0.3758 0.3758  6 Ta 2.66-2.69
Ta2 0.3758 0.3758 0.8725  6 Ta 2.66-2.69
Ta3 0.3758 0.8725 0.3758  6 Ta 2.66-2.69
Ta4 0.8725 0.3758 0.3758  6 Ta 2.66-2.69
Ru1 0.7500 0.7500 0.7500  12 Ta 3.13, 4 Au 3.28
Au1 0.0000 0.0000 0.0000  12 Ta 3.14, 4 Ru 3.28

Results
Energy of formation from the pure elements = 0.360 eV/atom
Magnetization = 0.00 μB per cell
Total energy = -57.80 eV per cell